Entry 1:
Entry from Alexandria via LeMat-Bulk: crystalline Ac2In12Pt7 at its relaxed geometry (PBE-GGA). Values from VASP.

Geometry as Quantum ESPRESSO input:
```
&SYSTEM
  ibrav = 0, nat = 21, ntyp = 3
/
ATOMIC_SPECIES
Ac 227.00 Ac.upf
In 114.82 In.upf
Pt 195.08 Pt.upf
ATOMIC_POSITIONS angstrom
Ac -1.9697 0.2733 -0.7825
Ac 2.3198 -0.5966 -6.0478
In 0.8874 -2.3787 -8.9008
In 0.9625 2.5276 -7.3762
In -0.7997 -1.1188 -4.2139
In -2.2827 -7.4763 -2.7013
In -0.8612 -5.5458 -5.6052
In -1.8626 -3.7423 -2.4548
In -0.7024 -5.8077 -0.2603
In 0.5037 -8.2375 -4.1449
In 1.1014 -3.5392 -4.0086
In 2.1229 -4.4276 -6.8901
In 3.7264 1.9288 -8.7065
In 1.1101 0.7090 -2.5468
Pt 0.3009 -5.8615 -2.8046
Pt -1.1263 -8.5713 -0.1585
Pt 1.5808 -7.0713 -6.4488
Pt 0.4482 -1.9418 -1.8065
Pt -0.1721 -2.8564 -6.4006
Pt 1.3669 0.4347 -9.1250
Pt -0.1445 1.4518 -4.9653
CELL_PARAMETERS angstrom
-3.9395 0.5466 -1.5650
4.3387 4.6683 -9.2910
-1.7180 -11.1263 0.4386
```

Entry 2:
Entry from Alexandria via LeMat-Bulk: crystalline AcInPt2 at its relaxed geometry (PBE-GGA). Values from VASP.

Geometry as Quantum ESPRESSO input:
```
&SYSTEM
  ibrav = 0, nat = 4, ntyp = 3
/
ATOMIC_SPECIES
Ac 227.00 Ac.upf
Pt 195.08 Pt.upf
In 114.82 In.upf
ATOMIC_POSITIONS angstrom
Ac 1.8048 1.8048 3.4789
Pt 0.0000 0.0000 5.5163
Pt 0.0000 0.0000 1.4414
In 1.8048 1.8048 0.0000
CELL_PARAMETERS angstrom
3.6097 0.0000 0.0000
0.0000 3.6097 0.0000
0.0000 0.0000 6.9577
```

Entry 3:
Entry from Alexandria via LeMat-Bulk: crystalline AcInPt4 at its relaxed geometry (PBE-GGA). Values from VASP.

Geometry as Quantum ESPRESSO input:
```
&SYSTEM
  ibrav = 0, nat = 6, ntyp = 3
/
ATOMIC_SPECIES
Ac 227.00 Ac.upf
Pt 195.08 Pt.upf
In 114.82 In.upf
ATOMIC_POSITIONS angstrom
Ac 0.0000 0.0000 0.0000
Pt -2.0012 -1.5628 -5.8998
Pt -4.1797 -0.2404 -4.8710
Pt -4.5221 -2.1330 -6.8341
Pt -3.7903 -2.9000 -4.2986
In -1.8117 -0.8545 -2.7379
CELL_PARAMETERS angstrom
-1.4750 1.5462 -5.1111
-0.6902 -3.8150 -3.9572
-5.0815 -1.1493 -1.8835
```

Entry 4:
Entry from Alexandria via LeMat-Bulk: crystalline Ac4In2Pt at its relaxed geometry (PBE-GGA). Values from VASP.

Calculated values
Excess energy over the best structure of this formula in the dataset = 0 meV per atom

Geometry as Quantum ESPRESSO input:
```
&SYSTEM
  ibrav = 0, nat = 7, ntyp = 3
/
ATOMIC_SPECIES
Ac 227.00 Ac.upf
Pt 195.08 Pt.upf
In 114.82 In.upf
ATOMIC_POSITIONS angstrom
Ac 0.8406 1.3736 5.8174
Ac 6.0691 5.1033 5.7340
Ac 2.1400 1.7323 1.5249
Ac 4.7697 4.7445 10.0265
Pt 0.0000 0.0000 0.0000
In 3.0562 3.9585 7.0925
In 3.8535 2.5184 4.4589
CELL_PARAMETERS angstrom
4.7665 0.0000 1.4429
2.0892 6.3301 1.6927
0.0540 0.1468 8.4157
```

Entry 5:
Entry from Alexandria via LeMat-Bulk: crystalline AcIn12Pt4 at its relaxed geometry (PBE-GGA). Values from VASP.

Geometry as Quantum ESPRESSO input:
```
&SYSTEM
  ibrav = 0, nat = 17, ntyp = 3
/
ATOMIC_SPECIES
Ac 227.00 Ac.upf
In 114.82 In.upf
Pt 195.08 Pt.upf
ATOMIC_POSITIONS angstrom
Ac 0.0000 0.0000 0.0000
In 5.5603 1.9867 1.2034
In 0.9825 3.3274 1.1189
In 4.5974 -1.3129 4.5118
In 0.0196 -1.9101 5.7152
In -1.8074 5.2586 2.3222
In 1.8074 0.6182 5.7152
In 2.8096 -0.0488 2.3222
In -0.0196 3.9944 4.5118
In 2.7703 5.8558 1.1189
In 3.7725 3.2509 3.3929
In -0.9825 0.6948 3.4411
In -2.7703 1.9589 5.6307
Pt -1.3950 3.9456 0.0000
Pt 4.1850 0.0000 0.0000
Pt 1.3950 1.9728 3.4170
Pt -1.3950 -1.9728 3.4170
CELL_PARAMETERS angstrom
8.3699 0.0000 0.0000
-2.7900 7.8912 0.0000
-2.7900 -3.9456 6.8340
```

Entry 6:
Entry from Alexandria via LeMat-Bulk: crystalline AcIn3Pt at its relaxed geometry (PBE-GGA). Values from VASP.

Calculated values
Excess energy over the best structure of this formula in the dataset = 0 meV per atom

Geometry as Quantum ESPRESSO input:
```
&SYSTEM
  ibrav = 0, nat = 20, ntyp = 3
/
ATOMIC_SPECIES
Ac 227.00 Ac.upf
In 114.82 In.upf
Pt 195.08 Pt.upf
ATOMIC_POSITIONS angstrom
Ac 3.4562 7.4957 0.0578
Ac 1.1521 6.4131 6.0994
Ac 3.4562 2.8595 5.9839
Ac 1.1521 1.7768 12.0256
In 1.1521 5.1968 1.0637
In 3.4562 4.0758 11.0196
In 1.1521 0.5605 4.9779
In 3.4562 8.7120 7.1054
In 1.1521 3.6305 8.4738
In 3.4562 1.0058 2.4322
In 1.1521 8.2667 9.6512
In 3.4562 5.9522 8.6291
In 1.1521 3.3203 3.4542
In 3.4562 1.3160 9.4959
In 3.4562 5.6421 3.6095
In 1.1521 7.9566 2.5874
Pt 1.1521 0.9709 7.7548
Pt 1.1521 5.6072 10.3702
Pt 3.4562 3.6654 1.7131
Pt 3.4562 8.3016 4.3286
CELL_PARAMETERS angstrom
4.6083 0.0000 0.0000
0.0000 9.2725 0.0000
0.0000 0.0000 12.0833
```

Entry 7:
Entry from Alexandria via LeMat-Bulk: crystalline Ac6InPt2 at its relaxed geometry (PBE-GGA). Values from VASP.

Geometry as Quantum ESPRESSO input:
```
&SYSTEM
  ibrav = 0, nat = 18, ntyp = 3
/
ATOMIC_SPECIES
Ac 227.00 Ac.upf
In 114.82 In.upf
Pt 195.08 Pt.upf
ATOMIC_POSITIONS angstrom
Ac 1.2725 5.4588 4.2922
Ac 2.7546 2.1932 -0.5608
Ac -0.3824 2.3912 6.6314
Ac 4.4095 5.2607 -2.9001
Ac 3.4272 5.8210 0.9059
Ac 0.5999 1.8310 2.8254
Ac -1.9893 6.0190 6.4855
Ac 6.0165 1.6330 -2.7542
Ac 4.3849 2.7164 3.2255
Ac -0.3578 4.9355 0.5058
Ac -1.9852 7.5677 2.8062
Ac 6.0123 0.0842 0.9251
In -2.4266 3.9250 3.4303
In 0.0000 0.0000 0.0000
Pt 2.6545 2.8932 5.6717
Pt 1.3727 4.7588 -1.9404
Pt 5.9007 0.0000 4.1742
Pt -1.8735 7.6520 -0.4429
CELL_PARAMETERS angstrom
8.8804 -0.1980 -3.1292
-4.8593 7.6520 -2.5550
0.0060 0.1980 9.4156
```

Entry 8:
Entry from Alexandria via LeMat-Bulk: crystalline Ac8In2Pt3 at its relaxed geometry (PBE-GGA). Values from VASP.

Geometry as Quantum ESPRESSO input:
```
&SYSTEM
  ibrav = 0, nat = 13, ntyp = 3
/
ATOMIC_SPECIES
Ac 227.00 Ac.upf
In 114.82 In.upf
Pt 195.08 Pt.upf
ATOMIC_POSITIONS angstrom
Ac 5.1880 5.6625 -1.4888
Ac -0.0002 2.7201 5.4271
Ac 5.1880 0.1667 1.8218
Ac -0.0002 8.2159 2.1164
Ac 2.5940 5.4359 3.8863
Ac 2.5939 0.2846 6.7975
Ac 2.5939 8.0980 -2.8593
Ac 2.5938 2.9467 0.0519
In 2.5939 1.7679 3.5160
In 2.5939 6.6147 0.4222
Pt 2.5942 -0.0001 -0.0001
Pt -0.0004 1.1848 8.3456
Pt 5.1882 7.1978 -4.4073
CELL_PARAMETERS angstrom
5.1883 -0.0002 -0.0002
0.0001 10.0120 -6.5552
-0.0006 -1.6293 10.4936
```

Entry 9:
Entry from Alexandria via LeMat-Bulk: crystalline Ac2InPt7 at its relaxed geometry (PBE-GGA). Values from VASP.

Geometry as Quantum ESPRESSO input:
```
&SYSTEM
  ibrav = 0, nat = 10, ntyp = 3
/
ATOMIC_SPECIES
Ac 227.00 Ac.upf
In 114.82 In.upf
Pt 195.08 Pt.upf
ATOMIC_POSITIONS angstrom
Ac -8.3319 -1.5706 3.7406
Ac -3.2791 -2.2569 -0.0646
In -1.6863 0.5909 -2.3458
Pt -9.0397 -4.8215 3.4306
Pt -4.6309 0.0771 1.4951
Pt -2.5713 0.9940 0.2454
Pt -6.9801 -3.9046 2.1809
Pt -4.9624 -2.2092 3.0109
Pt 0.0000 0.0000 0.0000
Pt -6.6487 -1.6183 0.6651
CELL_PARAMETERS angstrom
-2.2343 3.2827 -1.2738
-1.1384 -2.1010 -3.4178
-9.9247 -4.4184 6.0218
```

Entry 10:
Entry from Alexandria via LeMat-Bulk: crystalline AcIn4Pt4 at its relaxed geometry (PBE-GGA). Values from VASP.

Geometry as Quantum ESPRESSO input:
```
&SYSTEM
  ibrav = 0, nat = 18, ntyp = 3
/
ATOMIC_SPECIES
Ac 227.00 Ac.upf
In 114.82 In.upf
Pt 195.08 Pt.upf
ATOMIC_POSITIONS angstrom
Ac 0.0000 0.0000 0.0000
Ac -4.7599 4.3172 2.6762
In -3.0357 6.9117 4.8588
In -6.1984 7.9695 3.6223
In -6.1326 1.1201 1.1392
In -0.8640 4.2462 3.7346
In -8.0814 4.9822 4.4063
In -7.0244 1.5924 4.6129
In -4.9529 3.4609 -1.2650
In -1.7901 4.2549 0.3005
Pt -7.5816 3.1068 2.4239
Pt -2.2696 6.0954 2.3203
Pt -6.7205 3.6968 6.4524
Pt -3.6132 8.4610 2.6324
Pt -7.5585 3.0043 -0.3124
Pt -3.6123 2.2104 0.7437
Pt -5.5763 5.8563 5.2169
Pt -1.1476 2.1068 1.9325
CELL_PARAMETERS angstrom
-1.9831 3.3986 -3.6406
-8.3970 -1.6047 3.0759
0.8602 6.8406 5.9172
```

Entry 11:
Entry from Alexandria via LeMat-Bulk: crystalline Ac2In9Pt3 at its relaxed geometry (PBE-GGA). Values from VASP.

Geometry as Quantum ESPRESSO input:
```
&SYSTEM
  ibrav = 0, nat = 28, ntyp = 3
/
ATOMIC_SPECIES
Ac 227.00 Ac.upf
In 114.82 In.upf
Pt 195.08 Pt.upf
ATOMIC_POSITIONS angstrom
Ac 1.7076 1.9508 7.6890
Ac 1.8451 5.4154 0.7413
Ac 5.3798 4.3385 5.5107
Ac -1.8271 3.0277 2.9195
In -0.4136 6.7412 7.2735
In 3.9663 0.6250 1.1568
In 2.2392 5.2248 6.6016
In 1.3135 2.1414 1.8286
In 0.8595 4.7775 9.3916
In 2.6932 2.5887 -0.9613
In -0.5469 3.8559 6.0305
In 4.0996 3.5103 2.3997
In 6.5293 1.0877 5.8994
In -2.9766 6.2785 2.5308
In -3.1757 7.2387 10.6127
In 6.7284 0.1275 -2.1824
In 3.5281 1.4822 4.7687
In 0.0247 5.8840 3.6616
In 3.1761 6.2547 3.8119
In 0.3766 1.1114 4.6183
In 5.0000 2.4322 8.2748
In -1.4473 4.9340 0.1555
Pt 3.9148 -0.0105 -1.6503
Pt 1.7764 3.6831 4.2151
Pt 5.9247 1.3001 3.1051
Pt -2.3719 6.0661 5.3251
Pt -0.2234 2.3946 -0.5507
Pt 3.7761 4.9716 8.9809
CELL_PARAMETERS angstrom
7.8296 -0.0211 -3.3007
-4.5936 7.1482 -0.0076
0.3167 0.2391 11.7386
```

Entry 12:
Entry from Alexandria via LeMat-Bulk: crystalline AcIn8Pt4 at its relaxed geometry (PBE-GGA). Values from VASP.

Geometry as Quantum ESPRESSO input:
```
&SYSTEM
  ibrav = 0, nat = 13, ntyp = 3
/
ATOMIC_SPECIES
Ac 227.00 Ac.upf
In 114.82 In.upf
Pt 195.08 Pt.upf
ATOMIC_POSITIONS angstrom
Ac 0.0000 0.0000 0.0000
In 2.9041 2.4036 4.5373
In 2.9041 4.5373 2.4036
In 5.8081 4.5373 4.5373
In 5.8081 2.4036 2.4036
In 5.8081 5.4284 1.5126
In 5.8081 1.5126 5.4284
In 2.9041 1.5126 1.5126
In 8.7122 5.4284 5.4284
Pt 1.4520 0.0000 3.4705
Pt 4.3561 0.0000 3.4705
Pt 1.4520 3.4705 0.0000
Pt 4.3561 3.4705 0.0000
CELL_PARAMETERS angstrom
5.8081 0.0000 0.0000
2.9041 6.9410 0.0000
2.9041 0.0000 6.9410
```

Which final energy belongs to each record? In order, -96.0; -21.7; -35.8; -31.9; -65.8; -85.1; -90.1; -63.7; -60.4; -88.7; -115.3; -55.6 eV/cell.
Which DOS(E_F) belongs to each record? In order, 8.4; 1.6; 1.7; 7.7; 11.5; 10.2; 17.4; 13.8; 8.4; 9.6; 10.6; 4.7 states/eV per cell.
Which ΔH_f (0 K) belongs to each record? In order, -0.60; -0.69; -0.80; -0.57; -0.27; -0.58; -0.62; -0.56; -0.71; -0.57; -0.48; -0.42 eV/atom.